Entry 1:
# Ac2EuBi, optimized geometry, DFT PBE
# Offset from the most stable computed form ... 0.023 eV per formula unit
# Energy of formation from the pure elements ... -377 meV per atom
# Total magnetization ... 7.8 μB per formula unit
# Raw total energy ... -5.97 eV/atom
# Crystal system ... tetragonal
data_Ac2EuBi
_cell_length_a 4.4824
_cell_length_b 4.4824
_cell_length_c 7.8106
_cell_angle_alpha 90.00
_cell_angle_beta 90.00
_cell_angle_gamma 90.00
_symmetry_space_group_name_H-M 'P 4/m m m'
_symmetry_Int_Tables_number 123
_symmetry_space_group_name_Hall '-P 4 2'
loop_
_atom_site_label
_atom_site_type_symbol
_atom_site_fract_x
_atom_site_fract_y
_atom_site_fract_z
Ac1 Ac 0.0000 0.0000 0.2283
Eu1 Eu 0.5000 0.5000 0.5000
Bi1 Bi 0.5000 0.5000 0.0000

=====

Entry 2:
# Ac2EuBi, optimized geometry, DFT PBE
# Offset from the most stable computed form ... 1.113 eV per formula unit
# Energy of formation from the pure elements ... -104 meV per atom
# Total magnetization ... 8.0 μB per formula unit
# Raw total energy ... -5.70 eV/atom
# Crystal system ... trigonal
data_Ac2EuBi
_cell_length_a 4.3584
_cell_length_b 4.3584
_cell_length_c 36.4204
_cell_angle_alpha 90.00
_cell_angle_beta 90.00
_cell_angle_gamma 120.00
_symmetry_space_group_name_H-M 'R -3 m'
_symmetry_Int_Tables_number 166
_symmetry_space_group_name_Hall '-R 3 2"'
loop_
_atom_site_label
_atom_site_type_symbol
_atom_site_fract_x
_atom_site_fract_y
_atom_site_fract_z
Ac1 Ac 0.0000 0.0000 0.1071
Eu1 Eu 0.0000 0.0000 0.0000
Bi1 Bi 0.0000 0.0000 0.5000

=====

Entry 3:
# Ac2EuBi, optimized geometry, DFT PBE
# Offset from the most stable computed form ... 0.608 eV per formula unit
# Energy of formation from the pure elements ... -231 meV per atom
# Total magnetization ... 7.2 μB per formula unit
# Raw total energy ... -5.82 eV/atom
# Crystal system ... cubic
data_Ac2EuBi
_cell_length_a 8.5113
_cell_length_b 8.5113
_cell_length_c 8.5113
_cell_angle_alpha 90.00
_cell_angle_beta 90.00
_cell_angle_gamma 90.00
_symmetry_space_group_name_H-M 'F m -3 m'
_symmetry_Int_Tables_number 225
_symmetry_space_group_name_Hall '-F 4 2 3'
loop_
_atom_site_label
_atom_site_type_symbol
_atom_site_fract_x
_atom_site_fract_y
_atom_site_fract_z
Ac1 Ac 0.2500 0.2500 0.2500
Eu1 Eu 0.0000 0.0000 0.0000
Bi1 Bi 0.0000 0.0000 0.5000